(1)
18
Lattice="-1.545 3.286 4.518 -5.322 2.291 -3.486 -3.762 -5.077 2.406" Properties=species:S:1:pos:R:3 comment="CaLa2CuO5 | Alexandria | PBE-GGA | optimized geometry" final_energy_ev_per_atom=-7.06 raw_formation_energy_ev_per_atom=-2.5325 pbc="T T T"
Ca -4.542 -1.393 -0.540
Ca 0.000 0.000 0.000
Cu -2.661 1.145 -1.743
Cu -1.881 -2.539 1.203
O -2.794 0.840 0.163
O -0.773 1.643 2.259
O -7.009 -2.098 0.858
O -7.070 2.678 1.341
O -5.314 0.249 1.719
O -7.835 -0.341 3.274
O -4.386 -0.422 4.513
O -3.620 2.597 2.579
O -3.559 -2.179 2.097
O -6.243 0.921 -1.076
La -7.705 0.120 0.995
La -2.924 0.379 2.442
La -5.006 2.306 0.329
La -5.623 -1.807 3.109

(2)
12
Lattice="-7.548 0.588 -8.162 1.254 -3.876 -1.439 -3.804 -3.288 5.541" Properties=species:S:1:pos:R:3 comment="BaMnMo | Alexandria | PBE-GGA | optimized geometry" final_energy_ev_per_atom=-6.86 e_above_lowest_polymorph_mev_per_atom=0 delta_e_f_ev_per_atom=0.45 pbc="T T T"
Mn -7.747 0.277 -7.498
Mn -0.638 -2.820 0.556
Mn -3.167 -2.527 4.045
Mn -9.022 -3.305 -5.447
Ba -3.871 -3.002 -1.772
Ba -7.220 -0.717 -4.360
Ba -8.495 -4.299 -2.309
Ba -6.400 -2.709 1.718
Mo -2.062 -0.415 -0.678
Mo -4.001 -5.059 3.654
Mo -3.337 -3.997 1.373
Mo -2.726 -1.477 1.603

(3)
4
Lattice="-2.460 -0.666 1.208 2.336 0.187 1.568 -1.703 8.957 1.469" Properties=species:S:1:pos:R:3 comment="ZrIr3 | Alexandria | PBE-GGA | optimized geometry" final_energy_ev_per_atom=-8.86 delta_e_f_ev_per_atom=-0.07 pbc="T T T"
Ir -0.831 4.373 0.717
Ir -0.020 0.106 0.017
Ir 0.312 2.142 1.816
Zr -0.539 6.621 2.550

(4)
6
Lattice="4.332 0.000 0.000 0.000 2.542 0.000 2.166 1.271 6.121" Properties=species:S:1:pos:R:3 comment="VZnH | Alexandria | PBE-GGA | optimized geometry" final_energy_ev_per_atom=-4.55 e_above_lowest_polymorph_mev_per_atom=79 pbc="T T T"
Zn 4.332 0.635 1.152
Zn 2.166 3.177 4.969
V 2.166 1.906 2.545
V 4.332 1.906 3.576
H 2.166 0.635 1.229
H 4.332 3.177 4.892

(5)
13
Lattice="-5.296 1.304 -0.067 -3.265 -2.169 -6.146 -4.141 -5.262 2.882" Properties=species:S:1:pos:R:3 comment="BaAl5Ag7 | Alexandria | PBE-GGA | optimized geometry" final_energy_ev_per_atom=-3.25 delta_e_f_ev_per_atom=-0.13 pbc="T T T"
Al -5.339 -4.774 -4.716
Al -5.780 -6.332 -0.167
Al -9.561 -4.741 -2.552
Al -8.408 -5.685 -0.200
Al -7.967 -4.127 -4.750
Ag -3.130 -1.346 -0.765
Ag -6.690 -4.468 -2.180
Ag -9.140 -2.919 -0.351
Ag -6.039 -1.774 -1.194
Ag -6.586 -3.887 0.895
Ag -8.875 -1.985 -3.077
Ag -6.092 -2.145 -4.192
Ba -5.299 1.289 -0.073

Calculated density (computed, kg/m3): 5783; 5455; 17437; 5784; 6844